VASP calculation (PBE) on Bi2PtAu after structural relaxation.

abc: 4.5364 4.5364 5.6465
angles: 90.00 90.00 120.00
Last column: nearest neighbours and their distance in Å.
Space group P-3m1 (No. 164)
One atom of each set of equivalent atoms:
1 Bi 0.3333 0.6667 0.2197 x2  3 Pt 2.90, 3 Au 3.06
2 Pt 0.0000 0.0000 0.0000 x1  2 Au 2.82, 6 Bi 2.90
3 Au 0.0000 0.0000 0.5000 x1  2 Pt 2.82, 6 Bi 3.06

Output
- energy (eV per formula unit) = -18.23
- volume (Å³/f.u.) = 100.6
- crystal system = trigonal
- density (g cm⁻³) = 13.37